Record 1
{
  "formula": "PrEuSe2",
  "functional": "GGA-PBE",
  "state": "optimized geometry",
  "lattice": [[-1.734, 3.886, 0.280], [-1.093, 1.578, 3.809], [5.502, 4.648, 2.042]],
  "species": ["Eu", "Se", "Se", "Pr"],
  "frac_coords": [[0.500, 0.500, 0.500], [0.250, 0.250, 0.250], [0.750, 0.750, 0.750], [0.000, 0.000, 0.000]],
  "magnetic_moment_mub_per_fu": 6.9,
  "e_form_raw_ev_per_atom": -1.94
}

Record 2
{
  "formula": "Ta2TlGa2",
  "functional": "GGA-PBE",
  "state": "optimized geometry",
  "lattice": [[3.771, 0.000, 0.000], [0.000, 3.771, 0.000], [1.886, 1.886, 6.778]],
  "species": ["Ta", "Ta", "Ga", "Ga", "Tl"],
  "frac_coords": [[0.400, 0.400, 0.200], [0.600, 0.600, 0.800], [0.250, 0.750, 0.500], [0.750, 0.250, 0.500], [0.000, 0.000, 0.000]],
  "e_form_kcal_per_mol_atoms": 8.5,
  "de_polymorph_mev_per_atom": 177,
  "magnetic_moment_mub_per_fu": 0.0
}

Record 3
{
  "formula": "TlSnPt3",
  "functional": "GGA-PBE",
  "state": "optimized geometry",
  "lattice": [[-3.015, -2.124, 3.427], [3.563, 0.601, 3.506], [-1.888, 4.525, 1.143]],
  "species": ["Pt", "Pt", "Pt", "Sn", "Tl"],
  "frac_coords": [[0.000, 0.000, 0.500], [0.000, 0.500, 0.000], [0.500, 0.000, 0.000], [0.000, 0.000, 0.000], [0.500, 0.500, 0.500]],
  "e_form_kcal_per_mol_atoms": 14.9,
  "de_polymorph_mev_per_atom": 0,
  "magnetic_moment_mub_per_fu": 0.0
}

Copy entry 2 word for word.
{
  "formula": "Ta2TlGa2",
  "functional": "GGA-PBE",
  "state": "optimized geometry",
  "lattice": [[3.771, 0.000, 0.000], [0.000, 3.771, 0.000], [1.886, 1.886, 6.778]],
  "species": ["Ta", "Ta", "Ga", "Ga", "Tl"],
  "frac_coords": [[0.400, 0.400, 0.200], [0.600, 0.600, 0.800], [0.250, 0.750, 0.500], [0.750, 0.250, 0.500], [0.000, 0.000, 0.000]],
  "e_form_kcal_per_mol_atoms": 8.5,
  "de_polymorph_mev_per_atom": 177,
  "magnetic_moment_mub_per_fu": 0.0
}